[1]
The following is a DFT calculation (PBEsol) of an optimized crystal structure of CuMoSe.

Output
- energy (eV/cell) = -18.9
- ΔE_f (raw) (eV per atom) = 0.364
- M_tot (μB per formula unit) = 0.00

a b c (Å): 4.395 4.395 2.649
angles (deg): 90.00 90.00 120.00
Fractional positions:
Cu 0.000 0.000 0.000
Mo 0.333 0.667 0.500
Se 0.667 0.333 0.500


[2]
The following is a DFT calculation (PBEsol) of an optimized crystal structure of CuMo2Se.

Output
- energy (eV/cell) = -30.1
- ΔE_f (raw) (eV per atom) = 0.412
- M_tot (μB per formula unit) = 0.00

a b c (Å): 3.167 4.307 4.330
angles (deg): 90.00 90.00 90.00
Fractional positions:
Cu 0.000 0.000 0.000
Mo 0.000 0.500 0.500
Mo 0.500 0.000 0.500
Se 0.500 0.500 0.000


[3]
The following is a DFT calculation (PBEsol) of an optimized crystal structure of CuMoSe2.

Output
- energy (eV/cell) = -24.1
- ΔE_f (raw) (eV per atom) = -0.077
- offset from the most stable computed form (meV/atom) = 24.2
- M_tot (μB per formula unit) = 0.00

a b c (Å): 3.746 3.746 5.550
angles (deg): 90.00 90.00 90.00
Fractional positions:
Cu 0.000 0.000 0.000
Mo 0.500 0.500 0.000
Se 0.000 0.500 0.291
Se 0.500 0.000 0.709


[4]
The following is a DFT calculation (PBEsol) of an optimized crystal structure of CuMo2Se.

Output
- energy (eV/cell) = -30.0
- ΔE_f (raw) (eV per atom) = 0.418
- M_tot (μB per formula unit) = 0.00

a b c (Å): 4.826 4.826 2.873
angles (deg): 99.29 99.29 113.52
Fractional positions:
Cu 0.000 0.000 0.000
Mo 0.000 0.500 0.500
Mo 0.500 0.000 0.500
Se 0.500 0.500 0.000


[5]
The following is a DFT calculation (PBEsol) of an optimized crystal structure of CuSiMo.

Output
- energy (eV/cell) = -22.2
- ΔE_f (raw) (eV per atom) = -0.127
- M_tot (μB per formula unit) = 0.00

a b c (Å): 4.080 4.080 2.686
angles (deg): 90.00 90.00 120.00
Fractional positions:
Cu 0.000 0.000 0.000
Si 0.667 0.333 0.000
Mo 0.333 0.667 0.500


[6]
The following is a DFT calculation (PBEsol) of an optimized crystal structure of CuSi3Mo.

Output
- energy (eV/cell) = -29.2
- ΔE_f (raw) (eV per atom) = 0.821
- M_tot (μB per formula unit) = 0.00

a b c (Å): 4.660 4.660 4.660
angles (deg): 90.00 90.00 90.00
Fractional positions:
Cu 0.000 0.000 0.000
Si 0.000 0.500 0.500
Si 0.500 0.000 0.500
Si 0.500 0.500 0.000
Mo 0.500 0.500 0.500